## MnF (PBE with a Hubbard U)

Data for MnF after structural relaxation.

Lattice parameters (Å, degrees): 5.916 5.916 5.916 109.47 109.47 109.47
Fractional coordinates of all 8 atoms:
Mn 0.000 0.000 0.371
Mn 0.000 0.371 0.000
Mn 0.371 0.000 0.000
Mn 0.629 0.629 0.629
F 0.000 0.000 0.725
F 0.000 0.725 0.000
F 0.275 0.275 0.275
F 0.725 0.000 0.000

Results
The value obtained for the energy above the most stable polymorph in this dataset is 255.8 meV/atom.